No. 1
A plane-wave DFT calculation with PBE-GGA was carried out for crystalline KBaCrCl6 at its relaxed geometry.

```
KBaCrCl6
1.0
7.3537 0.0000 0.0000
-3.6769 6.3685 0.0000
0.0000 0.0000 12.2713
Cl K Cr Ba
12 2 2 2
Cartesian
-1.9303 4.2564 10.5940
5.6072 2.1121 1.6773
0.9745 5.9120 10.5940
4.6513 0.4565 4.4583
-0.9745 5.9120 7.8129
2.7210 3.7999 1.6773
1.7466 2.1121 4.4583
2.7024 0.4565 1.6773
1.9303 4.2564 7.8129
-0.9558 2.5686 7.8129
4.6327 3.7999 4.4583
0.9558 2.5686 10.5940
0.0000 0.0000 6.1356
0.0000 0.0000 0.0000
0.0000 4.2457 9.2035
3.6769 2.1228 3.0678
3.6769 2.1228 9.2035
0.0000 4.2457 3.0678
```

**Final energy**: -4.3898 eV/atom
**Formation energy from raw total energies**: -1754 meV/atom
**Space group**: P-31c


No. 2
A plane-wave DFT calculation with PBE-GGA was carried out for crystalline KBa2CrCl at its relaxed geometry.

```
KBa2CrCl
1.0
7.1679 0.0000 0.0000
0.0000 5.4098 0.0000
0.0000 0.0000 7.1679
Ba Cr K Cl
2 1 1 1
Cartesian
0.0000 0.0000 3.5839
3.5839 0.0000 0.0000
0.0000 2.7049 0.0000
0.0000 0.0000 0.0000
3.5839 2.7049 3.5839
```

**Final energy**: -2.6823 eV/atom
**Formation energy from raw total energies**: 600 meV/atom
**Space group**: P4/mmm


No. 3
A plane-wave DFT calculation with PBE-GGA was carried out for crystalline K2BaCrCl6 at its relaxed geometry.

```
K2BaCrCl6
1.0
7.5664 -0.4308 -0.1039
-0.3987 8.0666 -0.2440
-3.6590 -3.9929 5.4085
Cl Ba K Cr
6 1 2 1
Cartesian
3.3713 2.9378 2.7755
-1.5897 -2.8656 4.9035
2.3128 -1.9572 4.7149
1.1939 5.6085 0.3413
0.1367 0.7140 2.2827
5.0984 6.5156 0.1558
-0.0756 -0.1710 5.2332
0.2143 3.8736 2.7603
3.2947 -0.2212 2.2984
-3.6584 -3.9904 5.4079
```

**Final energy**: -4.2636 eV/atom
**Formation energy from raw total energies**: -1782 meV/atom
**Space group**: P-1


No. 4
A plane-wave DFT calculation with PBE-GGA was carried out for crystalline BaLi2CrCl8 at its relaxed geometry.

```
BaLi2CrCl8
1.0
-5.2134 -2.1759 -2.6358
5.4743 -0.6648 -2.9071
1.1579 -7.4903 3.8932
Ba Cl Cr Li
1 8 1 2
Cartesian
0.0000 0.0000 0.0000
0.6684 -3.3500 -0.3279
3.0421 -8.4807 0.9840
-1.6233 -1.8504 -2.6336
2.0902 -4.6679 -3.2865
4.1531 -3.0982 -0.8799
-2.7343 -7.2328 -0.7698
0.7504 -6.9810 -1.3217
-0.6714 -5.6631 1.6368
0.5789 -3.7452 1.9466
-1.3086 -3.8864 -1.5754
2.7273 -6.4446 -0.0743
```

**Final energy**: -4.0366 eV/atom
**Formation energy from raw total energies**: -1524 meV/atom
**Space group**: P-3


No. 5
A plane-wave DFT calculation with PBE-GGA was carried out for crystalline BaLiCr2Cl8 at its relaxed geometry.

```
BaLiCr2Cl8
1.0
6.1471 0.5593 -0.3465
0.6319 6.2495 -0.4015
-0.3911 -0.4633 8.8262
Cr Li Cl Ba
2 1 8 1
Cartesian
3.4598 3.5140 1.2918
2.9280 2.8315 6.7863
0.0000 0.0000 0.0000
4.1555 4.6222 3.2438
2.2323 1.7233 4.8344
3.9613 4.3271 8.2875
4.9407 1.6181 6.6968
1.4471 4.7275 1.3814
2.4265 2.0185 -0.2094
1.1370 4.3467 6.5579
5.2508 1.9988 1.5203
-0.1956 -0.2316 4.4131
```

**Final energy**: -4.6243 eV/atom
**Formation energy from raw total energies**: -1470 meV/atom
**Space group**: P-1


No. 6
A plane-wave DFT calculation with PBE-GGA was carried out for crystalline BaMg2CrCl at its relaxed geometry.

```
BaMg2CrCl
1.0
5.3854 0.0000 0.0000
0.0000 4.5238 0.0000
0.0000 0.0000 5.3854
Ba Cr Mg Cl
1 1 2 1
Cartesian
2.6927 2.2619 2.6927
0.0000 0.0000 0.0000
2.6927 0.0000 0.0000
0.0000 0.0000 2.6927
0.0000 2.2619 0.0000
```

**Final energy**: -3.0932 eV/atom
**Formation energy from raw total energies**: 223 meV/atom
**Space group**: P4/mmm


No. 7
A plane-wave DFT calculation with PBE-GGA was carried out for crystalline BaNaCr2Cl8 at its relaxed geometry.

```
BaNaCr2Cl8
1.0
7.4585 0.0000 0.0000
-3.7292 6.4592 0.0000
0.0000 0.0000 8.7178
Cl Ba Na Cr
8 1 1 2
Cartesian
0.0000 2.0669 6.7556
-1.9392 5.4258 6.7556
0.0000 4.3062 3.9810
5.6685 1.0335 1.9621
1.7900 1.0335 1.9621
1.9392 5.4258 6.7556
3.7292 4.3923 1.9621
3.7292 2.1531 4.7367
0.0000 0.0000 4.3589
0.0000 0.0000 0.0000
3.7292 2.1531 2.5287
0.0000 4.3062 6.1891
```

**Final energy**: -4.4767 eV/atom
**Formation energy from raw total energies**: -1372 meV/atom
**Space group**: P-3m1


| no. | magnetization (μB/cell) | theoretical density (g/cm3) |
| --- | --- | --- |
| 1 | 6.0 | 2.549 |
| 2 | 5.6 | 2.397 |
| 3 | 4.0 | 2.506 |
| 4 | 1.9 | 2.819 |
| 5 | 7.0 | 2.643 |
| 6 | 0.0 | 3.460 |
| 7 | 7.0 | 2.166 |